## one
An optimized crystal structure of FeOs2W, computed with PBE.

Structure (CIF):
```
data_FeOs2W
_space_group_name_H-M_alt 'C m m m'
_space_group_IT_number 65
_space_group_name_Hall '-C 2 2'
_cell_length_a 5.4435
_cell_length_b 7.5203
_cell_length_c 2.7807
_cell_angle_alpha 90.00
_cell_angle_beta 90.00
_cell_angle_gamma 90.00
loop_
_atom_site_label
_atom_site_fract_x
_atom_site_fract_y
_atom_site_fract_z
Fe1 0.0000 0.0000 0.0000
Os1 0.2500 0.2500 0.5000
W1 0.0000 0.5000 0.0000
```

## two
An optimized crystal structure of FeOs2W, computed with PBE.

Structure (CIF):
```
data_FeOs2W
_space_group_name_H-M_alt 'P 1 2/m 1'
_space_group_IT_number 10
_space_group_name_Hall '-P 2y'
_cell_length_a 2.7099
_cell_length_b 4.1330
_cell_length_c 5.2648
_cell_angle_alpha 90.00
_cell_angle_beta 102.81
_cell_angle_gamma 90.00
loop_
_atom_site_label
_atom_site_fract_x
_atom_site_fract_y
_atom_site_fract_z
Fe1 0.0000 0.0000 0.0000
Os1 0.3831 0.5000 0.2344
W1 0.0000 0.0000 0.5000
```

## three
An optimized crystal structure of FeOs2W, computed with PBE.

Structure (CIF):
```
data_FeOs2W
_space_group_name_H-M_alt 'C 1 m 1'
_space_group_IT_number 8
_space_group_name_Hall 'C -2y'
_cell_length_a 8.9958
_cell_length_b 2.7424
_cell_length_c 4.6830
_cell_angle_alpha 90.00
_cell_angle_beta 99.84
_cell_angle_gamma 90.00
loop_
_atom_site_label
_atom_site_fract_x
_atom_site_fract_y
_atom_site_fract_z
Fe1 0.0000 0.0000 0.0000
Os1 0.0062 0.5000 0.5241
Os2 0.2498 0.0000 0.7501
W1 0.2534 0.5000 0.2487
```

Energies in eV/atom, measured from the most stable structure: one 0.011; two 0.070; three 0.000.

## one
An optimized crystal structure of Fe3OsW, computed with PBE.

Structure (CIF):
```
data_Fe3OsW
_space_group_name_H-M_alt 'P m -3 m'
_space_group_IT_number 221
_space_group_name_Hall '-P 4 2 3'
_cell_length_a 4.3964
_cell_length_b 4.3964
_cell_length_c 4.3964
_cell_angle_alpha 90.00
_cell_angle_beta 90.00
_cell_angle_gamma 90.00
loop_
_atom_site_label
_atom_site_fract_x
_atom_site_fract_y
_atom_site_fract_z
Fe1 0.0000 0.0000 0.5000
Os1 0.0000 0.0000 0.0000
W1 0.5000 0.5000 0.5000
```

## two
An optimized crystal structure of Fe3OsW, computed with PBE.

Structure (CIF):
```
data_Fe3OsW
_space_group_name_H-M_alt 'P m -3 m'
_space_group_IT_number 221
_space_group_name_Hall '-P 4 2 3'
_cell_length_a 4.3613
_cell_length_b 4.3613
_cell_length_c 4.3613
_cell_angle_alpha 90.00
_cell_angle_beta 90.00
_cell_angle_gamma 90.00
loop_
_atom_site_label
_atom_site_fract_x
_atom_site_fract_y
_atom_site_fract_z
Fe1 0.0000 0.0000 0.5000
Os1 0.5000 0.5000 0.5000
W1 0.0000 0.0000 0.0000
```

Energies in eV/atom, measured from the most stable structure: one 0.000; two 0.109.

## one
An optimized crystal structure of YFe2Os, computed with PBE.

Structure (CIF):
```
data_YFe2Os
_space_group_name_H-M_alt 'I m m m'
_space_group_IT_number 71
_space_group_name_Hall '-I 2 2'
_cell_length_a 3.1805
_cell_length_b 4.5880
_cell_length_c 9.0865
_cell_angle_alpha 90.00
_cell_angle_beta 90.00
_cell_angle_gamma 90.00
loop_
_atom_site_label
_atom_site_fract_x
_atom_site_fract_y
_atom_site_fract_z
Y1 0.0000 0.0000 0.0000
Fe1 0.0000 0.5000 0.2267
Os1 0.0000 0.0000 0.5000
```

## two
An optimized crystal structure of YFe2Os, computed with PBE.

Structure (CIF):
```
data_YFe2Os
_space_group_name_H-M_alt 'P 1 m 1'
_space_group_IT_number 6
_space_group_name_Hall 'P -2y'
_cell_length_a 2.8769
_cell_length_b 4.1486
_cell_length_c 5.5738
_cell_angle_alpha 90.00
_cell_angle_beta 104.11
_cell_angle_gamma 90.00
loop_
_atom_site_label
_atom_site_fract_x
_atom_site_fract_y
_atom_site_fract_z
Y1 0.0000 0.0000 0.0000
Fe1 0.5630 0.0000 0.4968
Fe2 0.6652 0.5000 0.2857
Os1 0.2941 0.5000 0.6724
```

## three
An optimized crystal structure of YFe2Os, computed with PBE.

Structure (CIF):
```
data_YFe2Os
_space_group_name_H-M_alt 'P 4 m m'
_space_group_IT_number 99
_space_group_name_Hall 'P 4 -2'
_cell_length_a 3.0851
_cell_length_b 3.0851
_cell_length_c 6.7505
_cell_angle_alpha 90.00
_cell_angle_beta 90.00
_cell_angle_gamma 90.00
loop_
_atom_site_label
_atom_site_fract_x
_atom_site_fract_y
_atom_site_fract_z
Y1 0.0000 0.0000 0.0000
Fe1 0.0000 0.0000 0.4888
Fe2 0.5000 0.5000 0.3048
Os1 0.5000 0.5000 0.6846
```

## four
An optimized crystal structure of YFe2Os, computed with PBE.

Structure (CIF):
```
data_YFe2Os
_space_group_name_H-M_alt 'C 1 2/m 1'
_space_group_IT_number 12
_space_group_name_Hall '-C 2y'
_cell_length_a 7.2184
_cell_length_b 4.1706
_cell_length_c 5.3566
_cell_angle_alpha 90.00
_cell_angle_beta 116.80
_cell_angle_gamma 90.00
loop_
_atom_site_label
_atom_site_fract_x
_atom_site_fract_y
_atom_site_fract_z
Y1 0.0000 0.0000 0.0000
Fe1 0.1965 0.0000 0.5893
Os1 0.0000 0.5000 0.5000
```

Energies in eV/atom, measured from the most stable structure: one 0.218; two 0.207; three 0.117; four 0.000.

## one
An optimized crystal structure of YFe2Os, computed with PBE.

Structure (CIF):
```
data_YFe2Os
_space_group_name_H-M_alt 'I m m 2'
_space_group_IT_number 44
_space_group_name_Hall 'I 2 -2'
_cell_length_a 3.0736
_cell_length_b 4.5083
_cell_length_c 9.1042
_cell_angle_alpha 90.00
_cell_angle_beta 90.00
_cell_angle_gamma 90.00
loop_
_atom_site_label
_atom_site_fract_x
_atom_site_fract_y
_atom_site_fract_z
Y1 0.0000 0.0000 0.0000
Fe1 0.0000 0.0000 0.4985
Fe2 0.0000 0.5000 0.7732
Os1 0.0000 0.5000 0.2261
```

## two
An optimized crystal structure of YFe2Os, computed with PBE.

Structure (CIF):
```
data_YFe2Os
_space_group_name_H-M_alt 'P m m m'
_space_group_IT_number 47
_space_group_name_Hall '-P 2 2'
_cell_length_a 3.3251
_cell_length_b 4.3164
_cell_length_c 4.4707
_cell_angle_alpha 90.00
_cell_angle_beta 90.00
_cell_angle_gamma 90.00
loop_
_atom_site_label
_atom_site_fract_x
_atom_site_fract_y
_atom_site_fract_z
Y1 0.0000 0.0000 0.0000
Fe1 0.0000 0.5000 0.5000
Fe2 0.5000 0.5000 0.0000
Os1 0.5000 0.0000 0.5000
```

## three
An optimized crystal structure of YFe2Os, computed with PBE.

Structure (CIF):
```
data_YFe2Os
_space_group_name_H-M_alt 'I -4 2 d'
_space_group_IT_number 122
_space_group_name_Hall 'I -4 2bw'
_cell_length_a 4.3483
_cell_length_b 4.3483
_cell_length_c 16.7269
_cell_angle_alpha 90.00
_cell_angle_beta 90.00
_cell_angle_gamma 90.00
loop_
_atom_site_label
_atom_site_fract_x
_atom_site_fract_y
_atom_site_fract_z
Y1 0.0000 0.0000 0.0000
Fe1 0.0602 0.2500 0.6250
Os1 0.0000 0.0000 0.5000
```

Energies in eV/atom, measured from the most stable structure: one 0.000; two 0.052; three 0.286.

## one
An optimized crystal structure of YFe2Os, computed with PBE.

Structure (CIF):
```
data_YFe2Os
_space_group_name_H-M_alt 'P 4/m m m'
_space_group_IT_number 123
_space_group_name_Hall '-P 4 2'
_cell_length_a 2.8976
_cell_length_b 2.8976
_cell_length_c 7.2194
_cell_angle_alpha 90.00
_cell_angle_beta 90.00
_cell_angle_gamma 90.00
loop_
_atom_site_label
_atom_site_fract_x
_atom_site_fract_y
_atom_site_fract_z
Y1 0.0000 0.0000 0.0000
Fe1 0.5000 0.5000 0.2975
Os1 0.0000 0.0000 0.5000
```

## two
An optimized crystal structure of YFe2Os, computed with PBE.

Structure (CIF):
```
data_YFe2Os
_space_group_name_H-M_alt 'F m -3 m'
_space_group_IT_number 225
_space_group_name_Hall '-F 4 2 3'
_cell_length_a 6.3082
_cell_length_b 6.3082
_cell_length_c 6.3082
_cell_angle_alpha 90.00
_cell_angle_beta 90.00
_cell_angle_gamma 90.00
loop_
_atom_site_label
_atom_site_fract_x
_atom_site_fract_y
_atom_site_fract_z
Y1 0.0000 0.0000 0.0000
Fe1 0.2500 0.2500 0.2500
Os1 0.0000 0.0000 0.5000
```

## three
An optimized crystal structure of YFe2Os, computed with PBE.

Structure (CIF):
```
data_YFe2Os
_space_group_name_H-M_alt 'F -4 3 m'
_space_group_IT_number 216
_space_group_name_Hall 'F -4 2 3'
_cell_length_a 6.3640
_cell_length_b 6.3640
_cell_length_c 6.3640
_cell_angle_alpha 90.00
_cell_angle_beta 90.00
_cell_angle_gamma 90.00
loop_
_atom_site_label
_atom_site_fract_x
_atom_site_fract_y
_atom_site_fract_z
Y1 0.0000 0.0000 0.0000
Fe1 0.0000 0.0000 0.5000
Fe2 0.2500 0.2500 0.2500
Os1 0.2500 0.2500 0.7500
```

Energies in eV/atom, measured from the most stable structure: one 0.071; two 0.000; three 0.106.